# 1
Computed, not measured: crystalline MoI2F at its relaxed geometry at the GGA-PBEsol level of DFT.

The structure in extended XYZ format:
```
16
Lattice="6.669 0.000 0.000 0.000 6.669 0.000 0.000 0.000 6.669" Properties=species:S:1:pos:R:3 pbc="T T T"
Mo 0.000 0.000 0.000
Mo 0.000 3.335 3.335
Mo 3.335 0.000 3.335
Mo 3.335 3.335 0.000
I 1.667 1.667 1.667
I 1.667 1.667 5.002
I 1.667 5.002 1.667
I 1.667 5.002 5.002
I 5.002 1.667 1.667
I 5.002 1.667 5.002
I 5.002 5.002 1.667
I 5.002 5.002 5.002
F 0.000 0.000 3.335
F 0.000 3.335 0.000
F 3.335 0.000 0.000
F 3.335 3.335 3.335
```

Output
total moment: 4.0 Bohr magnetons per cell



# 2
Computed, not measured: crystalline NbHg2Rh at its relaxed geometry at the GGA-PBEsol level of DFT.

The structure in extended XYZ format:
```
16
Lattice="6.514 0.000 0.000 0.000 6.514 0.000 0.000 0.000 6.514" Properties=species:S:1:pos:R:3 pbc="T T T"
Nb 0.000 0.000 0.000
Nb 0.000 3.257 3.257
Nb 3.257 0.000 3.257
Nb 3.257 3.257 0.000
Hg 1.628 1.628 1.628
Hg 1.628 1.628 4.885
Hg 1.628 4.885 1.628
Hg 1.628 4.885 4.885
Hg 4.885 1.628 1.628
Hg 4.885 1.628 4.885
Hg 4.885 4.885 1.628
Hg 4.885 4.885 4.885
Rh 0.000 0.000 3.257
Rh 0.000 3.257 0.000
Rh 3.257 0.000 0.000
Rh 3.257 3.257 3.257
```

Output
DFT formation energy: 0.159 eV/atom
total moment: 0.0 Bohr magnetons per cell



# 3
Computed, not measured: crystalline LaNi2As2 at its relaxed geometry at the GGA-PBEsol level of DFT.

The structure in extended XYZ format:
```
10
Lattice="4.208 0.000 0.000 0.000 4.208 0.000 0.000 0.000 9.340" Properties=species:S:1:pos:R:3 pbc="T T T"
La 1.052 1.052 2.306
La 3.156 3.156 7.035
Ni 1.052 1.052 5.763
Ni 1.052 3.156 0.000
Ni 3.156 1.052 0.000
Ni 3.156 3.156 3.577
As 1.052 1.052 8.149
As 1.052 3.156 4.670
As 3.156 1.052 4.670
As 3.156 3.156 1.191
```

Output
DFT formation energy: -0.921 eV/atom
total moment: 0.0 Bohr magnetons per cell



# 4
Computed, not measured: crystalline YSbSe2 at its relaxed geometry at the GGA-PBEsol level of DFT.

The structure in extended XYZ format:
```
16
Lattice="7.200 0.000 0.000 0.000 7.200 0.000 0.000 0.000 7.200" Properties=species:S:1:pos:R:3 pbc="T T T"
Y 0.000 0.000 0.000
Y 0.000 3.600 3.600
Y 3.600 0.000 3.600
Y 3.600 3.600 0.000
Sb 1.800 1.800 5.400
Sb 1.800 5.400 1.800
Sb 5.400 1.800 1.800
Sb 5.400 5.400 5.400
Se 0.000 0.000 3.600
Se 0.000 3.600 0.000
Se 1.800 1.800 1.800
Se 1.800 5.400 5.400
Se 3.600 0.000 0.000
Se 3.600 3.600 3.600
Se 5.400 1.800 5.400
Se 5.400 5.400 1.800
```

Output
total moment: 0.0 Bohr magnetons per cell



# 5
Computed, not measured: crystalline FeRhW2 at its relaxed geometry at the GGA-PBEsol level of DFT.

The structure in extended XYZ format:
```
4
Lattice="2.829 0.000 0.000 0.000 3.454 0.000 0.000 0.000 5.679" Properties=species:S:1:pos:R:3 pbc="T T T"
Fe 0.000 0.000 0.000
Rh 1.414 1.727 1.507
W 0.000 0.000 2.899
W 1.414 1.727 4.580
```

Output
relative energy among the computed polymorphs: 144 meV/atom
DFT formation energy: 0.107 eV/atom
total moment: 0.0 Bohr magnetons per cell



# 6
Computed, not measured: crystalline ZrHg3W at its relaxed geometry at the GGA-PBEsol level of DFT.

The structure in extended XYZ format:
```
5
Lattice="5.331 0.000 0.000 0.000 5.331 0.000 0.000 0.000 5.331" Properties=species:S:1:pos:R:3 pbc="T T T"
Zr 0.000 0.000 0.000
Hg 0.000 0.000 2.666
Hg 0.000 2.666 0.000
Hg 2.666 0.000 0.000
W 2.666 2.666 2.666
```

Output
DFT formation energy: 1.907 eV/atom
total moment: 4.2 Bohr magnetons per cell



# 7
Computed, not measured: crystalline ZnRuW at its relaxed geometry at the GGA-PBEsol level of DFT.

The structure in extended XYZ format:
```
6
Lattice="2.813 0.000 0.000 0.000 3.684 0.000 0.000 0.000 8.120" Properties=species:S:1:pos:R:3 pbc="T T T"
Zn 0.000 0.000 0.000
Zn 1.406 1.842 4.060
Ru 0.000 0.000 5.393
Ru 1.406 1.842 1.333
W 0.000 0.000 2.670
W 1.406 1.842 6.730
```

Output
relative energy among the computed polymorphs: 0 meV/atom
DFT formation energy: 0.098 eV/atom
total moment: 0.0 Bohr magnetons per cell



# 8
Computed, not measured: crystalline Rb3SnIr at its relaxed geometry at the GGA-PBEsol level of DFT.

The structure in extended XYZ format:
```
5
Lattice="6.171 0.000 0.000 0.000 6.171 0.000 0.000 0.000 6.171" Properties=species:S:1:pos:R:3 pbc="T T T"
Rb 0.000 0.000 3.086
Rb 0.000 3.086 0.000
Rb 3.086 0.000 0.000
Sn 3.086 3.086 3.086
Ir 0.000 0.000 0.000
```

Output
DFT formation energy: 0.952 eV/atom
total moment: 4.1 Bohr magnetons per cell



# 9
Computed, not measured: crystalline SrTc2P at its relaxed geometry at the GGA-PBEsol level of DFT.

The structure in extended XYZ format:
```
4
Lattice="3.894 0.000 0.000 0.000 3.894 0.000 0.000 0.000 4.516" Properties=species:S:1:pos:R:3 pbc="T T T"
Sr 0.000 0.000 0.000
Tc 0.000 1.947 2.258
Tc 1.947 0.000 2.258
P 1.947 1.947 0.000
```

Output
relative energy among the computed polymorphs: 487 meV/atom
DFT formation energy: 0.720 eV/atom
total moment: 0.0 Bohr magnetons per cell



# 10
Computed, not measured: crystalline LiCrBO3 at its relaxed geometry at the GGA-PBEsol level of DFT.

The structure in extended XYZ format:
```
18
Lattice="8.033 0.000 0.000 -4.016 6.957 0.000 0.000 0.000 3.085" Properties=species:S:1:pos:R:3 pbc="T T T"
Li -2.257 4.800 0.000
Li 0.989 2.602 0.000
Li 1.269 6.512 0.000
Cr 2.605 0.456 1.542
Cr 3.109 4.473 1.542
Cr 6.336 2.028 1.542
B 0.000 0.000 0.000
B 0.000 4.638 1.542
B 4.016 2.319 0.000
O 1.252 0.586 0.000
O -1.231 5.282 1.542
O 0.058 3.249 1.542
O 1.174 5.382 1.542
O 3.859 0.928 0.000
O 2.890 3.151 0.000
O 5.300 2.878 0.000
O 3.898 5.580 0.000
O 6.900 0.791 0.000
```

Output
relative energy among the computed polymorphs: 0 meV/atom
total moment: 12.0 Bohr magnetons per cell



# 11
Computed, not measured: crystalline NaBiMo2 at its relaxed geometry at the GGA-PBEsol level of DFT.

The structure in extended XYZ format:
```
16
Lattice="7.993 0.000 0.000 0.000 7.993 0.000 0.000 0.000 5.248" Properties=species:S:1:pos:R:3 pbc="T T T"
Na 0.000 0.000 0.000
Na 0.000 3.996 1.312
Na 3.996 0.000 3.936
Na 3.996 3.996 2.624
Bi 0.000 0.000 2.624
Bi 0.000 3.996 3.936
Bi 3.996 0.000 1.312
Bi 3.996 3.996 0.000
Mo 1.714 5.994 3.280
Mo 1.998 1.714 1.968
Mo 1.998 2.282 4.592
Mo 2.282 5.994 0.656
Mo 5.710 1.998 0.656
Mo 5.994 5.710 4.592
Mo 5.994 6.279 1.968
Mo 6.279 1.998 3.280
```

Output
DFT formation energy: 1.379 eV/atom
total moment: 0.0 Bohr magnetons per cell



# 12
Computed, not measured: crystalline ReOsI2N at its relaxed geometry at the GGA-PBEsol level of DFT.

The structure in extended XYZ format:
```
5
Lattice="5.425 0.000 0.000 0.000 5.425 0.000 0.000 0.000 3.655" Properties=species:S:1:pos:R:3 pbc="T T T"
Re 0.000 0.000 0.000
Os 2.713 2.713 1.827
I 0.000 2.713 1.827
I 2.713 0.000 1.827
N 2.713 2.713 0.000
```

Output
total moment: 3.7 Bohr magnetons per cell



Summary of electronic total energy in eV for the cell shown
-70.7, -77.8, -65.0, -82.1, -44.3, -15.1, -50.5, -12.4, -27.3, -140.0, -94.8, -30.1
(order as listed above)